{"formula": "Pm4Ag2Au", "functional": "PBE-GGA", "state": "optimized geometry", "cell": [[3.6720, -5.2252, 0.0000], [3.6720, 5.2252, 0.0000], [0.0000, 0.0000, 5.1923]], "species": ["Pm", "Pm", "Pm", "Pm", "Ag", "Ag", "Au"], "fractional_positions": [[0.0000, 0.5000, 0.5000], [0.2483, 0.2483, 0.0000], [0.5000, 0.0000, 0.5000], [0.7517, 0.7517, 0.0000], [0.2567, 0.7433, 0.0000], [0.7433, 0.2567, 0.0000], [0.0000, 0.0000, 0.5000]], "sg": "Cmmm", "polymorph_energy_kj_per_mol_fu": 0}